Record 1
This record from Alexandria describes an optimized crystal structure of FeAsRu. The functional is PBEsol.

Summary:
SG: Fmm2 (42)
Energy of formation from the pure elements, meV/atom: 393

a b c (Å): 2.755 2.755 6.248
angles (deg): 96.99 96.99 116.60
Last column: magnetic moment on the atom in μB.
Atoms (fractional coordinates):
As 0.002 0.002 0.004  -0.01
Fe 0.665 0.665 0.331  2.50
Ru 0.333 0.333 0.665  0.46

Record 2
This record from Alexandria describes an optimized crystal structure of LiPb3I. The functional is PBEsol.

Summary:
SG: Pm-3m (221)
Formation energy from raw total energies, meV/atom: 113

a b c (Å): 5.256 5.256 5.256
angles (deg): 90.00 90.00 90.00
Atoms (fractional coordinates):
Pb 0.000 0.500 0.000
Pb 0.000 0.000 0.500
Pb 0.500 0.000 0.000
I 0.500 0.500 0.500
Li 0.000 0.000 0.000

Uncorrected energy values, unit eV per atom, following the record order: -7.688 -3.033.